Entry 1:
Entry from Alexandria: a geometry-optimized RbHSe2N structure (PBE).

Calculated values
**Energy above the lowest structure with this stoichiometry**: 96.66 kJ/mol of atoms
**Electronic total energy**: -10.5 eV for the cell shown
**Space-group type**: P4/mmm

```
5
Lattice="6.887 0.000 0.000 0.000 6.887 0.000 0.000 0.000 6.375" Properties=species:S:1:pos:R:3 pbc="T T T"
Rb 0.000 0.000 0.000
H 3.443 3.443 3.188
Se 0.000 3.443 0.000
Se 3.443 0.000 0.000
N 0.000 0.000 3.188
```



Entry 2:
Entry from Alexandria: a geometry-optimized Pr8Se4S3O structure (PBE).

Calculated values
**ΔE_f (raw)**: -31.62 eV per formula unit
**Electronic total energy**: -101.1 eV for the cell shown
**Space-group type**: R-3m

```
16
Lattice="4.117 2.377 6.820 -4.117 2.377 6.820 0.000 -4.754 6.820" Properties=species:S:1:pos:R:3 pbc="T T T"
Pr 0.000 0.000 4.966
Pr -1.935 -1.117 11.708
Pr 0.000 -2.234 8.751
Pr -1.935 1.117 8.751
Pr 1.935 -1.117 11.708
Pr 0.000 2.234 11.708
Pr 1.935 1.117 8.751
Pr 0.000 0.000 15.494
Se 0.000 0.000 0.000
Se -2.059 -1.189 6.820
Se -2.059 1.189 13.640
Se 0.000 2.377 6.820
S -4.117 0.000 10.230
S -2.059 1.189 3.410
S 2.059 1.189 3.410
O 0.000 0.000 10.230
```



Entry 3:
Entry from Alexandria: a geometry-optimized Zn4SnN4 structure (PBE).

Calculated values
**Energy above the lowest structure with this stoichiometry**: 0.20 kJ/mol of atoms
**ΔE_f (raw)**: 1.08 eV per formula unit
**Electronic total energy**: -82.6 eV for the cell shown
**Space-group type**: P-1

```
18
Lattice="5.868 0.000 0.000 0.108 5.994 0.000 2.429 -0.009 8.349" Properties=species:S:1:pos:R:3 pbc="T T T"
Zn 0.391 2.178 1.038
Zn 2.431 0.932 2.892
Zn 3.167 3.772 4.609
Zn 2.140 5.069 0.388
Zn 6.266 0.916 7.961
Zn 5.239 2.213 3.740
Zn 5.974 5.053 5.457
Zn 8.014 3.806 7.311
Sn 3.083 0.691 6.133
Sn 5.323 5.293 2.216
N 0.481 4.158 0.795
N 2.072 4.935 5.721
N 3.368 1.793 4.399
N 4.973 5.948 6.926
N 3.433 0.036 1.423
N 5.038 4.191 3.950
N 6.334 1.050 2.628
N 7.925 1.826 7.554
```



Entry 4:
Entry from Alexandria: a geometry-optimized Be5ZnPd6 structure (PBE).

Calculated values
**Electronic total energy**: -57.6 eV for the cell shown
**ΔE_f**: -0.546 eV per atom
**Space-group type**: Cmmm

```
12
Lattice="2.012 -6.022 0.000 2.012 6.022 0.000 0.000 0.000 5.908" Properties=species:S:1:pos:R:3 pbc="T T T"
Be 0.000 0.000 0.000
Be 2.012 2.029 2.954
Be 2.012 2.006 0.000
Be 2.012 -2.006 0.000
Be 2.012 -2.029 2.954
Zn 0.000 0.000 2.954
Pd 2.012 3.966 1.440
Pd 2.012 3.966 4.468
Pd 2.012 0.000 1.392
Pd 2.012 0.000 4.516
Pd 2.012 -3.966 1.440
Pd 2.012 -3.966 4.468
```



Entry 5:
Entry from Alexandria: a geometry-optimized ZnTeAs2 structure (PBE).

Calculated values
**Energy above the lowest structure with this stoichiometry**: 13.51 kJ/mol of atoms
**ΔE_f (raw)**: 0.11 eV per formula unit
**Electronic total energy**: -40.8 eV for the cell shown
**Space-group type**: R3m

```
12
Lattice="4.008 0.000 0.000 -2.004 3.471 0.000 0.000 0.000 21.513" Properties=species:S:1:pos:R:3 pbc="T T T"
Zn 0.000 0.000 0.000
Zn 0.000 2.314 14.342
Zn 2.004 1.157 7.171
Te 0.000 0.000 6.007
Te 0.000 2.314 20.349
Te 2.004 1.157 13.178
As 0.000 0.000 10.648
As 0.000 0.000 16.541
As 0.000 2.314 3.477
As 0.000 2.314 9.370
As 2.004 1.157 2.199
As 2.004 1.157 17.819
```



Entry 6:
Entry from Alexandria: a geometry-optimized LiTm3H structure (PBE).

Calculated values
**Electronic total energy**: -18.7 eV for the cell shown
**Space-group type**: Pm-3m

```
5
Lattice="4.814 0.000 0.000 0.000 4.814 0.000 0.000 0.000 4.814" Properties=species:S:1:pos:R:3 pbc="T T T"
Li 0.000 0.000 0.000
Tm 0.000 2.407 2.407
Tm 2.407 0.000 2.407
Tm 2.407 2.407 0.000
H 2.407 2.407 2.407
```